Record 1
Y2Zr4C3S3: optimized geometry, PBE.

Summary:
**Calculated volume**: 16.7 Å³/atom
**Final energy**: -8.554 eV per atom

The structure in POSCAR format:
```
Y2Zr4C3S3
1.0
5.268 -3.042 0.000
5.268 3.042 0.000
-3.504 0.000 12.477
Y Zr C S
4 8 6 6
direct
0.037 0.874 0.608
0.126 0.963 0.892
0.874 0.037 0.108
0.963 0.126 0.392
0.200 0.362 0.098
0.297 0.471 0.402
0.362 0.200 0.598
0.471 0.297 0.902
0.529 0.703 0.098
0.638 0.800 0.402
0.703 0.529 0.598
0.800 0.638 0.902
0.000 0.500 0.500
0.175 0.650 0.000
0.350 0.825 0.500
0.500 0.000 0.000
0.650 0.175 0.500
0.825 0.350 0.000
0.084 0.266 0.751
0.266 0.084 0.251
0.433 0.567 0.750
0.567 0.433 0.250
0.734 0.916 0.749
0.916 0.734 0.249
```

=====

Record 2
Zr3C2S: optimized geometry, PBE.

Summary:
**Calculated volume**: 14.8 Å³/atom
**Final energy**: -9.206 eV per atom

The structure in POSCAR format:
```
Zr3C2S
1.0
3.416 0.000 0.000
-1.708 2.958 0.000
0.000 0.000 17.608
Zr C S
6 4 2
direct
0.000 0.000 0.000
0.000 0.000 0.500
0.333 0.667 0.145
0.333 0.667 0.355
0.667 0.333 0.645
0.667 0.333 0.855
0.333 0.667 0.579
0.333 0.667 0.921
0.667 0.333 0.079
0.667 0.333 0.421
0.000 0.000 0.250
0.000 0.000 0.750
```

=====

Record 3
Zr2CS: optimized geometry, PBE.

Summary:
**Calculated volume**: 15.6 Å³/atom
**Final energy**: -8.954 eV per atom

The structure in POSCAR format:
```
Zr2CS
1.0
3.430 0.000 0.000
-1.715 2.971 0.000
0.000 0.000 12.256
Zr C S
4 2 2
direct
0.333 0.667 0.101
0.333 0.667 0.399
0.667 0.333 0.601
0.667 0.333 0.899
0.000 0.000 0.000
0.000 0.000 0.500
0.333 0.667 0.750
0.667 0.333 0.250
```

=====

Record 4
Zr2CS: optimized geometry, PBE.

Summary:
**Calculated volume**: 15.6 Å³/atom
**Final energy**: -8.954 eV per atom

The structure in POSCAR format:
```
Zr2CS
1.0
3.430 0.000 0.000
-1.715 2.970 0.000
0.000 0.000 12.257
Zr C S
4 2 2
direct
0.333 0.667 0.101
0.333 0.667 0.399
0.667 0.333 0.601
0.667 0.333 0.899
0.000 0.000 0.000
0.000 0.000 0.500
0.333 0.667 0.750
0.667 0.333 0.250
```

=====

Record 5
Zr2CS: optimized geometry, PBE.

Summary:
**Calculated volume**: 15.6 Å³/atom
**Final energy**: -8.954 eV per atom

The structure in POSCAR format:
```
Zr2CS
1.0
3.430 0.000 0.000
-1.715 2.970 0.000
0.000 0.000 12.257
Zr C S
4 2 2
direct
0.333 0.667 0.101
0.333 0.667 0.399
0.667 0.333 0.601
0.667 0.333 0.899
0.000 0.000 0.000
0.000 0.000 0.500
0.333 0.667 0.750
0.667 0.333 0.250
```

=====

Record 6
TmScSbC: optimized geometry, PBE.

Summary:
**Calculated volume**: 19.5 Å³/atom
**Excess energy over the best structure of this formula in the dataset**: 0.06 kJ per mole of atoms

The structure in POSCAR format:
```
TmScSbC
1.0
3.505 0.000 0.000
-1.753 3.036 0.000
0.000 0.000 14.671
Tm Sc Sb C
2 2 2 2
direct
0.000 0.000 0.170
0.000 0.000 0.830
0.667 0.333 0.340
0.667 0.333 0.660
0.000 0.000 0.500
0.667 0.333 0.000
0.333 0.667 0.259
0.333 0.667 0.741
```

=====

Record 7
TmSc3Sb2C2: optimized geometry, PBE.

Summary:
**Calculated volume**: 18.8 Å³/atom
**Final energy**: -6.993 eV per atom

The structure in POSCAR format:
```
TmSc3Sb2C2
1.0
3.459 0.000 0.000
-1.729 2.995 0.000
0.000 0.000 14.522
Tm Sc Sb C
1 3 2 2
direct
0.000 0.000 0.000
0.000 0.000 0.335
0.667 0.333 0.499
0.667 0.333 0.827
0.000 0.000 0.663
0.667 0.333 0.173
0.333 0.667 0.417
0.333 0.667 0.909
```

=====

Record 8
TmScSbC: optimized geometry, PBE.

Summary:
**Calculated volume**: 19.5 Å³/atom
**Excess energy over the best structure of this formula in the dataset**: 0.25 kJ per mole of atoms

The structure in POSCAR format:
```
TmScSbC
1.0
3.505 0.000 0.000
-1.753 3.035 0.000
0.000 0.000 14.681
Tm Sc Sb C
2 2 2 2
direct
0.333 0.667 0.411
0.667 0.333 0.589
0.333 0.667 0.080
0.667 0.333 0.920
0.333 0.667 0.759
0.667 0.333 0.241
0.000 0.000 0.000
0.000 0.000 0.500
```

=====

- The lowest calculated volume belongs to which entry?
  Zr3C2S

=====

Repeat the third record exactly.
Zr2CS: optimized geometry, PBE.

Summary:
**Calculated volume**: 15.6 Å³/atom
**Final energy**: -8.954 eV per atom

The structure in POSCAR format:
```
Zr2CS
1.0
3.430 0.000 0.000
-1.715 2.971 0.000
0.000 0.000 12.256
Zr C S
4 2 2
direct
0.333 0.667 0.101
0.333 0.667 0.399
0.667 0.333 0.601
0.667 0.333 0.899
0.000 0.000 0.000
0.000 0.000 0.500
0.333 0.667 0.750
0.667 0.333 0.250
```